[1]
Entry from Alexandria via LeMat-Bulk: Tb5Er3Tm2 after structural relaxation (PBE).

Total magnetization = 0.00 μB per cell
D(E_F) = 38.0 states/eV per cell
DFT formation energy = 0.203 eV/atom

Unit cell a=9.377 b=9.377 c=9.444 alpha=108.20 beta=108.20 gamma=111.61
Fractional positions:
Tb (0.022, 0.978, 0.750)
Tb (0.147, 0.394, 0.789)
Tb (0.276, 0.724, 0.250)
Tb (0.394, 0.147, 0.289)
Tb (0.472, 0.528, 0.250)
Tb (0.528, 0.472, 0.750)
Tb (0.606, 0.853, 0.711)
Tb (0.724, 0.276, 0.750)
Tb (0.853, 0.606, 0.211)
Tb (0.978, 0.022, 0.250)
Er (0.011, 0.266, 0.046)
Er (0.229, 0.771, 0.750)
Er (0.266, 0.011, 0.546)
Er (0.734, 0.989, 0.454)
Er (0.771, 0.229, 0.250)
Er (0.989, 0.734, 0.954)
Tm (0.219, 0.464, 0.453)
Tm (0.464, 0.219, 0.953)
Tm (0.536, 0.781, 0.047)
Tm (0.781, 0.536, 0.547)

---

[2]
Entry from Alexandria via LeMat-Bulk: Tb4Er5Tm2 after structural relaxation (PBE).

Total magnetization = 0.00 μB per cell
D(E_F) = 17.4 states/eV per cell
DFT formation energy = 0.182 eV/atom

Unit cell a=8.793 b=8.793 c=6.575 alpha=99.32 beta=99.32 gamma=43.91
Fractional positions:
Tb (0.089, 0.089, 0.405)
Tb (0.256, 0.256, 0.190)
Tb (0.744, 0.744, 0.810)
Tb (0.911, 0.911, 0.595)
Er (0.151, 0.673, 0.095)
Er (0.327, 0.849, 0.905)
Er (0.500, 0.500, 0.500)
Er (0.673, 0.151, 0.095)
Er (0.849, 0.327, 0.905)
Tm (0.298, 0.298, 0.701)
Tm (0.702, 0.702, 0.299)

---

Listing polymorph energy (0 for the lowest one) for the structures above in their given order: 0, 124 meV/atom.